1.
The following is a PBE-GGA calculation of a geometry-optimized CsB4Pd structure, from the Open Quantum Materials Database.

Results
SG = P6/mmm, No. 191
Crystal system = hexagonal
DFT total energy = -29.88 eV for the cell shown
Calculated volume = 12.770 Å³/atom

Cell: 3.1665 3.1665 8.8239 Å, 90.00 90.00 120.00°
Element x y z (fractional)
B 0.6667 0.3333 0.8135
B 0.6667 0.3333 0.1865
B 0.3333 0.6667 0.8135
B 0.3333 0.6667 0.1865
Pd 0.0000 0.0000 0.0000
Cs 0.0000 0.0000 0.5000

2.
The following is a PBE-GGA calculation of a geometry-optimized TbHoPO structure, from the Open Quantum Materials Database.

Results
SG = Pmc2_1, No. 26
Crystal system = orthorhombic
DFT total energy = -55.33 eV for the cell shown
Calculated volume = 22.176 Å³/atom
Total moment = 0.0 μB per cell

Cell: 4.1583 7.4727 5.7094 Å, 90.00 90.00 90.00°
Element x y z (fractional)
Ho 0.0000 0.8792 0.9985
Ho 0.0000 0.1208 0.4985
P 0.5000 0.3360 0.4337
P 0.5000 0.6640 0.9337
O 0.0000 0.1699 0.8833
O 0.0000 0.8301 0.3833
Tb 0.5000 0.2986 0.9384
Tb 0.5000 0.7014 0.4384

3.
The following is a PBE-GGA calculation of a geometry-optimized CsZrTa structure, from the Open Quantum Materials Database.

Results
SG = F-43m, No. 216
Crystal system = cubic
DFT total energy = -13.55 eV for the cell shown
Calculated volume = 26.523 Å³/atom
Total moment = 0.5 μB per cell

Cell: 4.8278 4.8278 4.8278 Å, 60.00 60.00 60.00°
Element x y z (fractional)
Ta 0.2500 0.2500 0.2500
Zr 0.7500 0.7500 0.7500
Cs 0.0000 0.0000 0.0000

4.
The following is a PBE-GGA calculation of a geometry-optimized LaPrCl2O2 structure, from the Open Quantum Materials Database.

Results
SG = P4mm, No. 99
Crystal system = tetragonal
DFT total energy = -41.88 eV for the cell shown
Calculated volume = 19.164 Å³/atom
Total moment = 0.0 μB per cell

Cell: 4.0955 4.0955 6.8552 Å, 90.00 90.00 90.00°
Element x y z (fractional)
O 0.0000 0.5000 0.9997
O 0.5000 0.0000 0.9997
La 0.0000 0.0000 0.1755
Pr 0.5000 0.5000 0.8242
Cl 0.0000 0.0000 0.6291
Cl 0.5000 0.5000 0.3717

5.
The following is a PBE-GGA calculation of a geometry-optimized BaCdPdPb2 structure, from the Open Quantum Materials Database.

Results
SG = P4/nmm, No. 129
Crystal system = tetragonal
DFT total energy = -35.32 eV for the cell shown
Calculated volume = 29.127 Å³/atom

Cell: 4.9328 4.9328 11.9702 Å, 90.00 90.00 90.00°
Element x y z (fractional)
Cd 0.5000 0.5000 0.0000
Cd 0.0000 0.0000 0.0000
Pd 0.5000 0.0000 0.3827
Pd 0.0000 0.5000 0.6173
Pb 0.5000 0.5000 0.5000
Pb 0.0000 0.0000 0.5000
Pb 0.0000 0.5000 0.8464
Pb 0.5000 0.0000 0.1536
Ba 0.5000 0.0000 0.7405
Ba 0.0000 0.5000 0.2595

6.
The following is a PBE-GGA calculation of a geometry-optimized TmAsN2O structure, from the Open Quantum Materials Database.

Results
SG = Pnma, No. 62
Crystal system = orthorhombic
DFT total energy = -140.34 eV for the cell shown
Calculated volume = 10.826 Å³/atom
Total moment = 0.0 μB per cell

Cell: 5.3565 7.7575 5.2107 Å, 90.00 90.00 90.00°
Element x y z (fractional)
N 0.6998 0.0505 0.8024
N 0.1998 0.4495 0.6976
N 0.8002 0.5505 0.3024
N 0.1998 0.0505 0.6976
N 0.6998 0.4495 0.8024
N 0.8002 0.9495 0.3024
N 0.3002 0.9495 0.1976
N 0.3002 0.5505 0.1976
O 0.4755 0.7500 0.6036
O 0.5245 0.2500 0.3964
O 0.0245 0.2500 0.1036
O 0.9755 0.7500 0.8964
As 0.0000 0.0000 0.0000
As 0.5000 0.5000 0.5000
As 0.0000 0.5000 0.0000
As 0.5000 0.0000 0.5000
Tm 0.9343 0.2500 0.5203
Tm 0.0657 0.7500 0.4797
Tm 0.5657 0.7500 0.0203
Tm 0.4343 0.2500 0.9797

7.
The following is a PBE-GGA calculation of a geometry-optimized GdP3O9 structure, from the Open Quantum Materials Database.

Results
SG = C222_1, No. 20
Crystal system = orthorhombic
DFT total energy = -196.05 eV for the cell shown
Calculated volume = 12.613 Å³/atom
Total moment = 0.0 μB per cell

Cell: 6.9095 6.9095 7.1130 Å, 90.00 90.00 105.05°
Element x y z (fractional)
O 0.2060 0.8253 0.4619
O 0.5355 0.7896 0.9564
O 0.1748 0.1272 0.8272
O 0.4645 0.2104 0.4564
O 0.4734 0.2516 0.0540
O 0.7940 0.1747 0.9619
O 0.3782 0.6218 0.2500
O 0.8728 0.8252 0.6728
O 0.8253 0.2060 0.5381
O 0.6218 0.3782 0.7500
O 0.7896 0.5355 0.0436
O 0.7484 0.5266 0.4460
O 0.2104 0.4645 0.5436
O 0.1272 0.1748 0.1728
O 0.1747 0.7940 0.0381
O 0.2516 0.4734 0.9460
O 0.5266 0.7484 0.5540
O 0.8252 0.8728 0.3272
P 0.2507 0.2507 0.0000
P 0.3097 0.6621 0.4585
P 0.3379 0.6903 0.0415
P 0.7492 0.7492 0.5000
P 0.6903 0.3379 0.9585
P 0.6621 0.3097 0.5415
Gd 0.1218 0.1218 0.5000
Gd 0.8782 0.8782 0.0000

8.
The following is a PBE-GGA calculation of a geometry-optimized TbTmGa2 structure, from the Open Quantum Materials Database.

Results
SG = Amm2, No. 38
Crystal system = orthorhombic
DFT total energy = -17.66 eV for the cell shown
Calculated volume = 23.611 Å³/atom
Total moment = 0.0 μB per cell

Cell: 4.3350 4.0280 5.8261 Å, 90.00 111.82 90.00°
Element x y z (fractional)
Ga 0.1604 0.0000 0.8606
Ga 0.0066 0.5000 0.5513
Tm 0.7208 0.5000 0.9813
Tb 0.4432 0.0000 0.4247

- Which of these has the lowest calculated volume?
  TmAsN2O

- Which formula does entry 4 have?
  LaPrCl2O2

- Number 5 is which compound?
  BaCdPdPb2

- Which of these has the lowest DFT total energy?
  GdP3O9